! SmTmRe (PBE, optimized geometry); values from VASP
&SYSTEM
  ibrav = 0, nat = 3, ntyp = 3
/
ATOMIC_SPECIES
Tm 168.93 Tm.upf
Re 186.21 Re.upf
Sm 150.36 Sm.upf
CELL_PARAMETERS angstrom
-0.084 -3.983 -2.634
-4.171 -1.806 -1.466
-1.204 0.215 -4.616
ATOMIC_POSITIONS crystal
Tm 0.000 0.000 0.000
Re 0.250 0.250 0.250
Sm 0.750 0.750 0.750
! - V: 77.0 Å³ per cell
! - Space group: F-43m (216)
! - Energy of formation from the pure elements: 25.29 kcal/mol of atoms
! - Offset from the most stable computed form: 0.000 eV per atom
! - Crystal system: cubic

---

! PrDy (PBE, optimized geometry); values from VASP
&SYSTEM
  ibrav = 0, nat = 2, ntyp = 2
/
ATOMIC_SPECIES
Pr 140.91 Pr.upf
Dy 162.50 Dy.upf
CELL_PARAMETERS angstrom
-1.560 -4.177 1.167
-3.734 -0.402 2.671
-3.951 -1.565 -1.783
ATOMIC_POSITIONS crystal
Pr 0.500 0.500 0.500
Dy 0.000 0.000 0.000
! - V: 69.2 Å³ per cell
! - Space group: Fm-3m (225)
! - Energy of formation from the pure elements: 15.25 kcal/mol of atoms
! - Offset from the most stable computed form: 0.624 eV per atom
! - Crystal system: cubic

---

! RbGaHgTe3 (PBE, optimized geometry); values from VASP
&SYSTEM
  ibrav = 0, nat = 12, ntyp = 4
/
ATOMIC_SPECIES
Te 127.60 Te.upf
Rb 85.47 Rb.upf
Hg 200.59 Hg.upf
Ga 69.72 Ga.upf
CELL_PARAMETERS angstrom
-0.194 8.291 -1.734
-2.210 -6.564 4.880
10.327 1.696 6.957
ATOMIC_POSITIONS crystal
Te 0.882 0.118 0.931
Rb 0.752 0.248 0.250
Hg 0.500 0.500 0.500
Rb 0.248 0.752 0.750
Ga 0.036 0.964 0.250
Te 0.118 0.882 0.431
Hg 0.500 0.500 0.000
Te 0.565 0.435 0.750
Te 0.118 0.882 0.069
Te 0.435 0.565 0.250
Ga 0.964 0.036 0.750
Te 0.882 0.118 0.569
! - E: -0.09972 Ha/atom
! - V: 444.8 Å³ per cell
! - Space group: Cmcm (63)
! - Crystal system: orthorhombic

---

! InFeTe2AuS (PBE, optimized geometry); values from VASP
&SYSTEM
  ibrav = 0, nat = 12, ntyp = 5
/
ATOMIC_SPECIES
Fe 55.84 Fe.upf
Au 196.97 Au.upf
In 114.82 In.upf
S 32.06 S.upf
Te 127.60 Te.upf
CELL_PARAMETERS angstrom
1.658 3.034 7.672
-4.859 -4.161 -5.467
4.246 -7.812 2.172
ATOMIC_POSITIONS crystal
Fe 0.500 0.500 0.500
Au 0.144 0.856 0.750
In 0.756 0.244 0.750
S 0.531 0.469 0.750
In 0.244 0.756 0.250
Fe 0.500 0.500 0.000
S 0.469 0.531 0.250
Te 0.895 0.105 0.960
Te 0.105 0.895 0.460
Au 0.856 0.144 0.250
Te 0.105 0.895 0.040
Te 0.895 0.105 0.540
! - E: -0.15321 Ha/atom
! - V: 302.5 Å³ per cell
! - Space group: Cmcm (63)
! - Crystal system: orthorhombic

---

! Dy2AgHg (PBE, optimized geometry); values from VASP
&SYSTEM
  ibrav = 0, nat = 4, ntyp = 3
/
ATOMIC_SPECIES
Dy 162.50 Dy.upf
Ag 107.87 Ag.upf
Hg 200.59 Hg.upf
CELL_PARAMETERS angstrom
-1.083 1.063 4.960
2.371 -4.378 1.456
3.186 1.827 0.304
ATOMIC_POSITIONS crystal
Dy 0.500 0.000 0.000
Ag 0.000 0.000 0.500
Dy 0.000 0.500 0.000
Hg 0.500 0.500 0.500
! - V: 99.2 Å³ per cell
! - Space group: P4/mmm (123)
! - Energy of formation from the pure elements: -9.50 kcal/mol of atoms
! - Crystal system: tetragonal

---

! Li2Mg2Zn2IrPd (PBE, optimized geometry); values from VASP
&SYSTEM
  ibrav = 0, nat = 8, ntyp = 5
/
ATOMIC_SPECIES
Mg 24.30 Mg.upf
Li 6.94 Li.upf
Ir 192.22 Ir.upf
Zn 65.41 Zn.upf
Pd 106.42 Pd.upf
CELL_PARAMETERS angstrom
-0.211 -2.246 -3.766
3.868 1.681 -1.219
2.920 -4.773 2.683
ATOMIC_POSITIONS crystal
Mg 0.500 0.000 0.246
Li 0.500 0.500 0.500
Ir 0.500 0.500 0.000
Zn 0.000 0.500 0.239
Zn 0.500 0.000 0.761
Pd 0.000 0.000 0.500
Li 0.000 0.000 0.000
Mg 0.000 0.500 0.754
! - E: -0.12353 Ha/atom
! - V: 119.6 Å³ per cell
! - Space group: P-4m2 (115)
! - Crystal system: tetragonal